No. 1
# YThIrOs | Alexandria via LeMat-Bulk | PBE | relaxed
# Fermi-level density of states (states/eV/atom): 0.567
# Mass density (g/cm3): 13.55
# M_tot (μB per atom): 0.00
data_YThIrOs
_chemical_formula_sum 'Y4 Th4 Ir4 Os4'
_cell_length_a 7.0129
_cell_length_b 7.0129
_cell_length_c 7.0129
_cell_angle_alpha 90.00
_cell_angle_beta 90.00
_cell_angle_gamma 90.00
_symmetry_space_group_name_H-M 'F -4 3 m'
_symmetry_Int_Tables_number 216
_symmetry_space_group_name_Hall 'F -4 2 3'
loop_
_atom_site_label
_atom_site_type_symbol
_atom_site_fract_x
_atom_site_fract_y
_atom_site_fract_z
Y1 Y 0.0000 0.0000 0.0000
Th1 Th 0.0000 0.0000 0.5000
Ir1 Ir 0.2500 0.2500 0.7500
Os1 Os 0.2500 0.2500 0.2500

No. 2
# Ti6Ir5Os | Alexandria via LeMat-Bulk | PBE | relaxed
# Fermi-level density of states (states/eV/atom): 1.084
# Mass density (g/cm3): 13.22
# M_tot (μB per atom): 0.00
data_Ti6Ir5Os
_chemical_formula_sum 'Ti12 Ir10 Os2'
_cell_length_a 4.2037
_cell_length_b 12.6126
_cell_length_c 6.8161
_cell_angle_alpha 90.00
_cell_angle_beta 90.00
_cell_angle_gamma 90.00
_symmetry_space_group_name_H-M 'C m m m'
_symmetry_Int_Tables_number 65
_symmetry_space_group_name_Hall '-C 2 2'
loop_
_atom_site_label
_atom_site_type_symbol
_atom_site_fract_x
_atom_site_fract_y
_atom_site_fract_z
Ti1 Ti 0.0000 0.0000 0.2449
Ti2 Ti 0.0000 0.3336 0.2483
Ir1 Ir 0.0000 0.1663 0.5000
Ir2 Ir 0.0000 0.1681 0.0000
Ir3 Ir 0.0000 0.5000 0.5000
Os1 Os 0.0000 0.5000 0.0000

No. 3
# Ti3IrOs | Alexandria via LeMat-Bulk | PBE | relaxed
# Fermi-level density of states (states/eV/atom): 2.005
# Mass density (g/cm3): 8.76
# M_tot (μB per atom): 0.00
data_Ti3IrOs
_chemical_formula_sum 'Ti3 Ir1 Os1'
_cell_length_a 4.6377
_cell_length_b 4.6377
_cell_length_c 4.6377
_cell_angle_alpha 90.00
_cell_angle_beta 90.00
_cell_angle_gamma 90.00
_symmetry_space_group_name_H-M 'P m -3 m'
_symmetry_Int_Tables_number 221
_symmetry_space_group_name_Hall '-P 4 2 3'
loop_
_atom_site_label
_atom_site_type_symbol
_atom_site_fract_x
_atom_site_fract_y
_atom_site_fract_z
Ti1 Ti 0.0000 0.0000 0.5000
Ir1 Ir 0.5000 0.5000 0.5000
Os1 Os 0.0000 0.0000 0.0000

Calculated E_form, -0.46 -0.80 0.66 eV/atom (same order as the records).